Computed, not measured: an optimized crystal structure of Ti4VO8 at the PBE with a Hubbard U level of DFT.

Unit cell a=10.073 b=5.937 c=5.842 alpha=90.00 beta=124.10 gamma=90.00
Space group C2/m (No. 12)
Asymmetric unit:
Ti 0.000 0.000 0.000
Ti 0.000 0.500 0.500
Ti 0.250 0.250 0.000
V 0.000 0.000 0.500
O 0.006 0.246 0.751
O 0.238 0.000 0.773
O 0.249 0.000 0.239

Its raw total energy is -226.8 eV for the cell shown. The value obtained for the density of states at the Fermi level is 3.82 states/eV/f.u.

***

Computed, not measured: an optimized crystal structure of Ti2VO6 at the PBE with a Hubbard U level of DFT.

Unit cell a=4.611 b=4.611 c=8.953 alpha=90.00 beta=90.00 gamma=90.00
Space group P4_2/mnm (No. 136)
Asymmetric unit:
Ti 0.000 0.000 0.169
V 0.000 0.000 0.500
O 0.196 0.196 0.332
O 0.201 0.201 0.000

As for the polymorph energy (0 for the lowest one): 0.00 kcal/mol of atoms.

***

Computed, not measured: an optimized crystal structure of TiVO3 at the PBE with a Hubbard U level of DFT.

Unit cell a=5.1624 b=5.1624 c=14.1883 alpha=90.00 beta=90.00 gamma=120.00
Space group R3c (No. 161, hexagonal axes)
Asymmetric unit:
Ti 0.0000 0.0000 0.0000
V 0.0000 0.0000 0.2954
O 0.0387 0.3415 0.0616

Its raw total energy is -257.2 eV for the cell shown.

***

Computed, not measured: an optimized crystal structure of Ti3V2O8 at the PBE with a Hubbard U level of DFT.

Unit cell a=9.658 b=6.072 c=4.996 alpha=90.00 beta=91.22 gamma=90.00
Space group C2/m (No. 12)
Asymmetric unit:
Ti 0.000 0.000 0.000
Ti 0.000 0.264 0.500
V 0.223 0.500 0.004
O 0.103 0.500 0.347
O 0.109 0.000 0.329
O 0.120 0.227 0.829

Its raw total energy is -223.6 eV for the cell shown. The value obtained for the density of states at the Fermi level is 1.57 states/eV/f.u.

***

Computed, not measured: an optimized crystal structure of Ti2VO2 at the PBE with a Hubbard U level of DFT.

Unit cell a=6.744 b=6.744 c=2.655 alpha=90.00 beta=90.00 gamma=90.00
Space group P4/mbm (No. 127)
Asymmetric unit:
Ti 0.142 0.358 0.000
V 0.000 0.000 0.000
O 0.125 0.625 0.500

As for the polymorph energy (0 for the lowest one): 18.30 kcal/mol of atoms. The value obtained for the density of states at the Fermi level is 3.87 states/eV/f.u.

***

Computed, not measured: an optimized crystal structure of TiV3O9 at the PBE with a Hubbard U level of DFT.

Unit cell a=14.459 b=7.084 c=10.362 alpha=90.00 beta=126.48 gamma=90.00
Space group Cc (No. 9)
Asymmetric unit:
Ti 0.000 0.245 0.000
V 0.120 0.405 0.812
V 0.253 0.029 0.752
V 0.367 0.398 0.674
O 0.018 0.351 0.845
O 0.079 0.449 0.148
O 0.140 0.098 0.093
O 0.196 0.186 0.817
O 0.243 0.491 0.502
O 0.327 0.163 0.694
O 0.350 0.123 0.400
O 0.411 0.469 0.338
O 0.472 0.382 0.646

Its raw total energy is -409.0 eV for the cell shown.

***

Computed, not measured: an optimized crystal structure of Ti2VO6 at the PBE with a Hubbard U level of DFT.

Unit cell a=4.725 b=5.026 c=8.492 alpha=90.00 beta=90.00 gamma=90.00
Space group Pnnm (No. 58)
Asymmetric unit:
Ti 0.000 0.000 0.193
V 0.000 0.500 0.000
O 0.186 0.177 0.000
O 0.234 0.667 0.173

As for the polymorph energy (0 for the lowest one): 0.44 kcal/mol of atoms.

***

Computed, not measured: an optimized crystal structure of Ti3VO8 at the PBE with a Hubbard U level of DFT.

Unit cell a=5.9439 b=5.9439 c=8.9992 alpha=90.00 beta=90.00 gamma=120.00
Space group P6_3mc (No. 186)
Asymmetric unit:
Ti 0.1676 0.3352 0.0000
V 0.3333 0.6667 0.2766
O 0.0000 0.0000 0.1022
O 0.0495 0.5248 0.1299
O 0.1729 0.3457 0.3938
O 0.3333 0.6667 0.8884

As for the polymorph energy (0 for the lowest one): 1.10 kcal/mol of atoms. The value obtained for the density of states at the Fermi level is 6.03 states/eV/f.u.